Entry 1:
## CaTlRe3 (PBE)

Data for a relaxed CaTlRe3 crystal.

Lattice parameters (Å, degrees): 4.714 4.714 4.714 90.00 90.00 90.00
Space group Pm-3m (No. 221)
Inequivalent atoms, fractional coordinates:
Ca  0.000  0.000  0.000
Tl  0.500  0.500  0.500
Re  0.000  0.000  0.500

Properties
ΔE_f = 15.951 eV per formula unit


Entry 2:
## SrYRh2 (PBE)

Data for a relaxed SrYRh2 crystal.

Lattice parameters (Å, degrees): 4.990 4.990 3.475 90.00 90.00 90.00
Space group P4/mmm (No. 123)
Inequivalent atoms, fractional coordinates:
Sr  0.000  0.000  0.000
Y  0.500  0.500  0.000
Rh  0.000  0.500  0.500

Properties
ΔE_f = -1.648 eV per formula unit


Entry 3:
## Si2PBr (PBE)

Data for a relaxed Si2PBr crystal.

Lattice parameters (Å, degrees): 5.251 5.251 5.487 90.00 90.00 90.00
Space group I4/mmm (No. 139)
Inequivalent atoms, fractional coordinates:
Si  0.000  0.500  0.000
P  0.000  0.000  0.000
Br  0.000  0.000  0.500

Properties
uncorrected formation energy = 0.54 eV per atom


Entry 4:
## NaSrFe2Pt (PBE)

Data for a relaxed NaSrFe2Pt crystal.

Lattice parameters (Å, degrees): 5.360 5.360 5.432 90.00 90.00 90.00
Space group P4/mmm (No. 123)
Inequivalent atoms, fractional coordinates:
Na  0.000  0.000  0.000
Sr  0.500  0.500  0.500
Fe  0.000  0.500  0.500
Pt  0.500  0.500  0.000

Properties
ΔE_f = 8.134 eV per formula unit


Entry 5:
## LiAl2Se (PBE)

Data for a relaxed LiAl2Se crystal.

Lattice parameters (Å, degrees): 3.393 4.121 10.555 90.00 90.00 90.00
Space group Immm (No. 71)
Inequivalent atoms, fractional coordinates:
Li  0.000  0.000  0.000
Al  0.000  0.500  0.211
Se  0.000  0.000  0.500

Properties
uncorrected formation energy = -0.35 eV per atom


Entry 6:
## Ca2TlP (PBE)

Data for a relaxed Ca2TlP crystal.

Lattice parameters (Å, degrees): 7.438 7.438 7.438 90.00 90.00 90.00
Space group Fm-3m (No. 225)
Inequivalent atoms, fractional coordinates:
Ca  0.250  0.250  0.250
Tl  0.000  0.000  0.000
P  0.000  0.000  0.500

Properties
ΔE_f = -1.897 eV per formula unit